No. 1
An optimized crystal structure of ZrTeBr2. Source: the Alexandria database, functional PBEsol. Values from VASP.

Geometry as Quantum ESPRESSO input:
```
&SYSTEM
  ibrav = 0, nat = 4, ntyp = 3
/
ATOMIC_SPECIES
Zr 91.22 Zr.upf
Te 127.60 Te.upf
Br 79.90 Br.upf
ATOMIC_POSITIONS crystal
Zr 0.000 0.000 0.000
Te 0.500 0.500 0.000
Br 0.000 0.500 0.500
Br 0.500 0.000 0.500
CELL_PARAMETERS angstrom
4.367 0.000 0.000
0.000 4.367 0.000
0.000 0.000 5.048
```

D(E_F): 3.60 states/eV/f.u.
Formation energy from raw total energies: -0.08 eV per atom
M_tot: 0.000 μB per atom
Relative energy among the computed polymorphs: 717 meV/atom
V: 96.3 Å³ per cell
Space group: No. 123

***

No. 2
An optimized crystal structure of Ca2Pt2Pb. Source: the Alexandria database, functional PBEsol. Values from VASP.

Geometry as Quantum ESPRESSO input:
```
&SYSTEM
  ibrav = 0, nat = 10, ntyp = 3
/
ATOMIC_SPECIES
Ca 40.08 Ca.upf
Pt 195.08 Pt.upf
Pb 207.20 Pb.upf
ATOMIC_POSITIONS crystal
Ca 0.000 0.000 0.123
Ca 0.000 0.000 0.877
Ca 0.500 0.500 0.377
Ca 0.500 0.500 0.623
Pt 0.000 0.500 0.250
Pt 0.000 0.500 0.750
Pt 0.500 0.000 0.250
Pt 0.500 0.000 0.750
Pb 0.000 0.000 0.500
Pb 0.500 0.500 0.000
CELL_PARAMETERS angstrom
3.705 0.000 0.000
0.000 3.705 0.000
0.000 0.000 17.867
```

D(E_F): 2.18 states/eV/f.u.
Energy of formation from the pure elements: -0.55 eV per atom
M_tot: 0.000 μB per atom
V: 245.3 Å³ per cell
Space group: No. 139

***

No. 3
An optimized crystal structure of Hg4SbTe. Source: the Alexandria database, functional PBEsol. Values from VASP.

Geometry as Quantum ESPRESSO input:
```
&SYSTEM
  ibrav = 0, nat = 6, ntyp = 3
/
ATOMIC_SPECIES
Hg 200.59 Hg.upf
Sb 121.76 Sb.upf
Te 127.60 Te.upf
ATOMIC_POSITIONS crystal
Hg 0.125 0.125 0.125
Hg 0.125 0.125 0.625
Hg 0.125 0.625 0.125
Hg 0.625 0.125 0.125
Sb 0.500 0.500 0.500
Te 0.750 0.750 0.750
CELL_PARAMETERS angstrom
0.000 4.207 4.207
4.207 0.000 4.207
4.207 4.207 0.000
```

D(E_F): 4.40 states/eV/f.u.
Formation energy from raw total energies: 0.27 eV per atom
M_tot: 0.000 μB per atom
V: 149.0 Å³ per cell
Space group: No. 216

***

No. 4
An optimized crystal structure of Zr2TcSe. Source: the Alexandria database, functional PBEsol. Values from VASP.

Geometry as Quantum ESPRESSO input:
```
&SYSTEM
  ibrav = 0, nat = 4, ntyp = 3
/
ATOMIC_SPECIES
Zr 91.22 Zr.upf
Tc 98.00 Tc.upf
Se 78.96 Se.upf
ATOMIC_POSITIONS crystal
Zr 0.000 0.000 0.000
Zr 0.500 0.500 0.370
Tc 0.500 0.500 0.933
Se 0.000 0.000 0.508
CELL_PARAMETERS angstrom
3.750 0.000 0.000
0.000 3.750 0.000
0.000 0.000 5.586
```

D(E_F): 2.37 states/eV/f.u.
Formation energy from raw total energies: -0.44 eV per atom
M_tot: 0.000 μB per atom
V: 78.5 Å³ per cell
Space group: No. 99

***

No. 5
An optimized crystal structure of Hf3HOs. Source: the Alexandria database, functional PBEsol. Values from VASP.

Geometry as Quantum ESPRESSO input:
```
&SYSTEM
  ibrav = 0, nat = 5, ntyp = 3
/
ATOMIC_SPECIES
Hf 178.49 Hf.upf
H 1.01 H.upf
Os 190.23 Os.upf
ATOMIC_POSITIONS crystal
Hf 0.000 0.000 0.500
Hf 0.000 0.500 0.000
Hf 0.500 0.000 0.000
H 0.000 0.000 0.000
Os 0.500 0.500 0.500
CELL_PARAMETERS angstrom
4.253 0.000 0.000
0.000 4.253 0.000
0.000 0.000 4.253
```

D(E_F): 4.89 states/eV/f.u.
M_tot: 0.000 μB per atom
Relative energy among the computed polymorphs: 0 meV/atom
V: 76.9 Å³ per cell
Space group: No. 221

***

No. 6
An optimized crystal structure of Cd3Ni. Source: the Alexandria database, functional PBEsol. Values from VASP.

Geometry as Quantum ESPRESSO input:
```
&SYSTEM
  ibrav = 0, nat = 8, ntyp = 2
/
ATOMIC_SPECIES
Cd 112.41 Cd.upf
Ni 58.69 Ni.upf
ATOMIC_POSITIONS crystal
Cd 0.250 0.002 0.166
Cd 0.250 0.498 0.166
Cd 0.250 0.750 0.638
Cd 0.750 0.250 0.362
Cd 0.750 0.502 0.834
Cd 0.750 0.998 0.834
Ni 0.250 0.250 0.672
Ni 0.750 0.750 0.328
CELL_PARAMETERS angstrom
4.632 0.000 0.000
0.000 5.763 0.000
0.000 0.000 5.134
```

D(E_F): 1.81 states/eV/f.u.
Energy of formation from the pure elements: 0.04 eV per atom
M_tot: 0.000 μB per atom
V: 137.1 Å³ per cell
Space group: No. 59

***

No. 7
An optimized crystal structure of BaCoP2. Source: the Alexandria database, functional PBEsol. Values from VASP.

Geometry as Quantum ESPRESSO input:
```
&SYSTEM
  ibrav = 0, nat = 8, ntyp = 3
/
ATOMIC_SPECIES
Ba 137.33 Ba.upf
Co 58.93 Co.upf
P 30.97 P.upf
ATOMIC_POSITIONS crystal
Ba 0.000 0.000 0.000
Ba 0.500 0.500 0.000
Co 0.329 0.500 0.462
Co 0.829 0.000 0.462
P 0.220 0.000 0.603
P 0.453 0.000 0.357
P 0.720 0.500 0.603
P 0.953 0.500 0.357
CELL_PARAMETERS angstrom
6.263 0.000 0.000
0.000 3.842 0.000
-1.979 0.000 6.201
```

D(E_F): 1.61 states/eV/f.u.
Energy of formation from the pure elements: -0.64 eV per atom
M_tot: 0.000 μB per atom
V: 149.2 Å³ per cell
Space group: No. 8

***

No. 8
An optimized crystal structure of CaHf2C. Source: the Alexandria database, functional PBEsol. Values from VASP.

Geometry as Quantum ESPRESSO input:
```
&SYSTEM
  ibrav = 0, nat = 8, ntyp = 3
/
ATOMIC_SPECIES
Ca 40.08 Ca.upf
Hf 178.49 Hf.upf
C 12.01 C.upf
ATOMIC_POSITIONS crystal
Ca 0.125 0.125 0.125
Ca 0.875 0.875 0.875
Hf 0.000 0.500 0.500
Hf 0.500 0.000 0.500
Hf 0.500 0.500 0.000
Hf 0.500 0.500 0.500
C 0.375 0.375 0.375
C 0.625 0.625 0.625
CELL_PARAMETERS angstrom
0.000 4.754 4.754
4.754 0.000 4.754
4.754 4.754 0.000
```

D(E_F): 5.01 states/eV/f.u.
Energy of formation from the pure elements: 0.37 eV per atom
M_tot: 0.000 μB per atom
V: 214.9 Å³ per cell
Space group: No. 227

***

No. 9
An optimized crystal structure of MgCu2PH. Source: the Alexandria database, functional PBEsol. Values from VASP.

Geometry as Quantum ESPRESSO input:
```
&SYSTEM
  ibrav = 0, nat = 5, ntyp = 4
/
ATOMIC_SPECIES
Mg 24.30 Mg.upf
Cu 63.55 Cu.upf
P 30.97 P.upf
H 1.01 H.upf
ATOMIC_POSITIONS crystal
Mg 0.000 0.000 0.000
Cu 0.000 0.500 0.000
Cu 0.500 0.000 0.000
P 0.000 0.000 0.500
H 0.500 0.500 0.500
CELL_PARAMETERS angstrom
4.719 0.000 0.000
0.000 4.719 0.000
0.000 0.000 4.566
```

D(E_F): 2.34 states/eV/f.u.
M_tot: 0.167 μB per atom
V: 101.7 Å³ per cell
DFT total energy: -11.68 eV for the cell shown
Space group: No. 123

***

No. 10
An optimized crystal structure of InTc2As. Source: the Alexandria database, functional PBEsol. Values from VASP.

Geometry as Quantum ESPRESSO input:
```
&SYSTEM
  ibrav = 0, nat = 8, ntyp = 3
/
ATOMIC_SPECIES
In 114.82 In.upf
Tc 98.00 Tc.upf
As 74.92 As.upf
ATOMIC_POSITIONS crystal
In 0.000 0.000 0.000
In 0.500 0.500 0.500
Tc 0.000 0.500 0.221
Tc 0.000 0.500 0.779
Tc 0.500 0.000 0.279
Tc 0.500 0.000 0.721
As 0.000 0.000 0.500
As 0.500 0.500 0.000
CELL_PARAMETERS angstrom
3.040 0.000 0.000
0.000 4.964 0.000
0.000 0.000 8.518
```

D(E_F): 3.12 states/eV/f.u.
Energy of formation from the pure elements: 0.27 eV per atom
M_tot: 0.000 μB per atom
Relative energy among the computed polymorphs: 99 meV/atom
V: 128.5 Å³ per cell
Space group: No. 71

***

No. 11
An optimized crystal structure of YBe3Ru. Source: the Alexandria database, functional PBEsol. Values from VASP.

Geometry as Quantum ESPRESSO input:
```
&SYSTEM
  ibrav = 0, nat = 5, ntyp = 3
/
ATOMIC_SPECIES
Y 88.91 Y.upf
Be 9.01 Be.upf
Ru 101.07 Ru.upf
ATOMIC_POSITIONS crystal
Y 0.000 0.000 0.000
Be 0.000 0.500 0.500
Be 0.500 0.000 0.500
Be 0.500 0.500 0.000
Ru 0.500 0.500 0.500
CELL_PARAMETERS angstrom
4.206 0.000 0.000
0.000 4.206 0.000
0.000 0.000 4.206
```

D(E_F): 2.33 states/eV/f.u.
Energy of formation from the pure elements: -0.05 eV per atom
M_tot: 0.000 μB per atom
V: 74.4 Å³ per cell
Space group: No. 221

***

No. 12
An optimized crystal structure of AlHSe2. Source: the Alexandria database, functional PBEsol. Values from VASP.

Geometry as Quantum ESPRESSO input:
```
&SYSTEM
  ibrav = 0, nat = 12, ntyp = 3
/
ATOMIC_SPECIES
Al 26.98 Al.upf
H 1.01 H.upf
Se 78.96 Se.upf
ATOMIC_POSITIONS crystal
Al 0.000 0.000 0.000
Al 0.333 0.667 0.667
Al 0.667 0.333 0.333
H 0.000 0.000 0.500
H 0.333 0.667 0.167
H 0.667 0.333 0.833
Se 0.000 0.000 0.406
Se 0.000 0.000 0.594
Se 0.333 0.667 0.072
Se 0.333 0.667 0.261
Se 0.667 0.333 0.739
Se 0.667 0.333 0.928
CELL_PARAMETERS angstrom
3.751 0.000 0.000
-1.875 3.248 0.000
0.000 0.000 18.648
```

D(E_F): 0.00 states/eV/f.u.
M_tot: 0.000 μB per atom
Relative energy among the computed polymorphs: 20 meV/atom
V: 227.2 Å³ per cell
Space group: No. 166

***

No. 13
An optimized crystal structure of Rb5Dy3I12. Source: the Alexandria database, functional PBEsol. Values from VASP.

Geometry as Quantum ESPRESSO input:
```
&SYSTEM
  ibrav = 0, nat = 20, ntyp = 3
/
ATOMIC_SPECIES
Rb 85.47 Rb.upf
Dy 162.50 Dy.upf
I 126.90 I.upf
ATOMIC_POSITIONS crystal
Rb 0.000 0.724 0.000
Rb 0.276 0.276 0.000
Rb 0.333 0.667 0.000
Rb 0.667 0.333 0.000
Rb 0.724 0.000 0.000
Dy 0.000 0.331 0.500
Dy 0.331 0.000 0.500
Dy 0.669 0.669 0.500
I 0.000 0.184 0.000
I 0.000 0.475 0.000
I 0.184 0.000 0.000
I 0.210 0.766 0.500
I 0.234 0.443 0.500
I 0.443 0.234 0.500
I 0.475 0.000 0.000
I 0.525 0.525 0.000
I 0.557 0.790 0.500
I 0.766 0.210 0.500
I 0.790 0.557 0.500
I 0.816 0.816 0.000
CELL_PARAMETERS angstrom
14.914 0.000 0.000
-7.457 12.916 0.000
0.000 0.000 4.320
```

D(E_F): 5.53 states/eV/f.u.
Formation energy from raw total energies: -1.36 eV per atom
M_tot: 0.000 μB per atom
V: 832.1 Å³ per cell
Space group: No. 189

***

No. 14
An optimized crystal structure of YFeP2Cl. Source: the Alexandria database, functional PBEsol. Values from VASP.

Geometry as Quantum ESPRESSO input:
```
&SYSTEM
  ibrav = 0, nat = 5, ntyp = 4
/
ATOMIC_SPECIES
Y 88.91 Y.upf
Fe 55.84 Fe.upf
P 30.97 P.upf
Cl 35.45 Cl.upf
ATOMIC_POSITIONS crystal
Y 0.000 0.000 0.000
Fe 0.500 0.500 0.000
P 0.000 0.500 0.500
P 0.500 0.000 0.500
Cl 0.000 0.000 0.500
CELL_PARAMETERS angstrom
4.691 0.000 0.000
0.000 4.691 0.000
0.000 0.000 4.789
```

D(E_F): 3.72 states/eV/f.u.
Formation energy from raw total energies: 0.85 eV per atom
M_tot: 0.606 μB per atom
V: 105.4 Å³ per cell
Space group: No. 123

***

No. 15
An optimized crystal structure of FeCu2Ir. Source: the Alexandria database, functional PBEsol. Values from VASP.

Geometry as Quantum ESPRESSO input:
```
&SYSTEM
  ibrav = 0, nat = 4, ntyp = 3
/
ATOMIC_SPECIES
Fe 55.84 Fe.upf
Cu 63.55 Cu.upf
Ir 192.22 Ir.upf
ATOMIC_POSITIONS crystal
Fe 0.000 0.000 0.000
Cu 0.224 0.500 0.756
Cu 0.776 0.500 0.244
Ir 0.500 0.000 0.500
CELL_PARAMETERS angstrom
2.543 0.000 0.000
0.000 4.328 0.000
-0.279 0.000 4.468
```

D(E_F): 2.78 states/eV/f.u.
Energy of formation from the pure elements: 0.19 eV per atom
M_tot: 0.729 μB per atom
Relative energy among the computed polymorphs: 110 meV/atom
V: 49.2 Å³ per cell
Space group: No. 10

***

No. 16
An optimized crystal structure of Nb2TlGaAu. Source: the Alexandria database, functional PBEsol. Values from VASP.

Geometry as Quantum ESPRESSO input:
```
&SYSTEM
  ibrav = 0, nat = 5, ntyp = 4
/
ATOMIC_SPECIES
Nb 92.91 Nb.upf
Tl 204.38 Tl.upf
Ga 69.72 Ga.upf
Au 196.97 Au.upf
ATOMIC_POSITIONS crystal
Nb 0.000 0.500 0.000
Nb 0.500 0.000 0.000
Tl 0.000 0.000 0.500
Ga 0.500 0.500 0.000
Au 0.500 0.500 0.500
CELL_PARAMETERS angstrom
4.801 0.000 0.000
0.000 4.801 0.000
0.000 0.000 4.612
```

D(E_F): 4.72 states/eV/f.u.
Energy of formation from the pure elements: 0.85 eV per atom
M_tot: 0.000 μB per atom
V: 106.3 Å³ per cell
Space group: No. 123

***

No. 17
An optimized crystal structure of YZrH2O. Source: the Alexandria database, functional PBEsol. Values from VASP.

Geometry as Quantum ESPRESSO input:
```
&SYSTEM
  ibrav = 0, nat = 5, ntyp = 4
/
ATOMIC_SPECIES
Y 88.91 Y.upf
Zr 91.22 Zr.upf
H 1.01 H.upf
O 16.00 O.upf
ATOMIC_POSITIONS crystal
Y 0.000 0.000 0.000
Zr 0.000 0.000 0.500
H 0.000 0.500 0.500
H 0.500 0.000 0.500
O 0.500 0.500 0.000
CELL_PARAMETERS angstrom
3.502 0.000 0.000
0.000 3.502 0.000
0.000 0.000 6.549
```

D(E_F): 3.27 states/eV/f.u.
M_tot: 0.000 μB per atom
V: 80.3 Å³ per cell
DFT total energy: -30.34 eV for the cell shown
Space group: No. 123

***

No. 18
An optimized crystal structure of MnIrI2O. Source: the Alexandria database, functional PBEsol. Values from VASP.

Geometry as Quantum ESPRESSO input:
```
&SYSTEM
  ibrav = 0, nat = 5, ntyp = 4
/
ATOMIC_SPECIES
Mn 54.94 Mn.upf
Ir 192.22 Ir.upf
I 126.90 I.upf
O 16.00 O.upf
ATOMIC_POSITIONS crystal
Mn 0.000 0.000 0.000
Ir 0.500 0.500 0.500
I 0.000 0.500 0.000
I 0.500 0.000 0.000
O 0.000 0.000 0.500
CELL_PARAMETERS angstrom
5.137 0.000 0.000
0.000 5.137 0.000
0.000 0.000 3.395
```

D(E_F): 4.69 states/eV/f.u.
Formation energy from raw total energies: 0.30 eV per atom
M_tot: 0.223 μB per atom
V: 89.6 Å³ per cell
Space group: No. 123

***

No. 19
An optimized crystal structure of Sr2ScNiF. Source: the Alexandria database, functional PBEsol. Values from VASP.

Geometry as Quantum ESPRESSO input:
```
&SYSTEM
  ibrav = 0, nat = 5, ntyp = 4
/
ATOMIC_SPECIES
Sr 87.62 Sr.upf
Sc 44.96 Sc.upf
Ni 58.69 Ni.upf
F 19.00 F.upf
ATOMIC_POSITIONS crystal
Sr 0.000 0.500 0.000
Sr 0.500 0.000 0.000
Sc 0.000 0.000 0.500
Ni 0.000 0.000 0.000
F 0.500 0.500 0.500
CELL_PARAMETERS angstrom
5.844 0.000 0.000
0.000 5.844 0.000
0.000 0.000 4.538
```

D(E_F): 4.18 states/eV/f.u.
Formation energy from raw total energies: -0.46 eV per atom
M_tot: 0.000 μB per atom
V: 155.0 Å³ per cell
Space group: No. 123

***

No. 20
An optimized crystal structure of BaTa2Mn. Source: the Alexandria database, functional PBEsol. Values from VASP.

Geometry as Quantum ESPRESSO input:
```
&SYSTEM
  ibrav = 0, nat = 4, ntyp = 3
/
ATOMIC_SPECIES
Ba 137.33 Ba.upf
Ta 180.95 Ta.upf
Mn 54.94 Mn.upf
ATOMIC_POSITIONS crystal
Ba 0.000 0.000 0.000
Ta 0.000 0.000 0.452
Ta 0.500 0.500 0.655
Mn 0.500 0.500 0.309
CELL_PARAMETERS angstrom
3.199 0.000 0.000
0.000 3.199 0.000
0.000 0.000 8.407
```

D(E_F): 4.26 states/eV/f.u.
Energy of formation from the pure elements: 0.61 eV per atom
M_tot: 0.388 μB per atom
Relative energy among the computed polymorphs: 5 meV/atom
V: 86.0 Å³ per cell
Space group: No. 99